No. 1
The following is a PBE calculation of an optimized crystal structure of ZnNi2B, from Alexandria via LeMat-Bulk.

The structure in CIF format:
```
data_ZnNi2B
_chemical_formula_sum 'Zn3 Ni6 B3'
_symmetry_space_group_name_H-M 'R 3 m'
_symmetry_Int_Tables_number 160
_symmetry_space_group_name_Hall 'R 3 -2"'
_cell_length_a 2.8609
_cell_length_b 2.8609
_cell_length_c 18.5739
_cell_angle_alpha 90.00
_cell_angle_beta 90.00
_cell_angle_gamma 120.00
loop_
_atom_site_label
_atom_site_type_symbol
_atom_site_fract_x
_atom_site_fract_y
_atom_site_fract_z
_atom_site_occupancy
Zn1 Zn 0.0000 0.0000 0.0000 1
Ni1 Ni 0.0000 0.0000 0.2248 1
Ni2 Ni 0.0000 0.0000 0.4426 1
B1 B 0.0000 0.0000 0.8336 1
```

DFT formation energy in kJ per mole of atoms: -13.72
Fermi-level density of states in states/eV per cell: 3.812
Polymorph energy (0 for the lowest one) in eV per atom: 0.050

No. 2
The following is a PBE calculation of an optimized crystal structure of ZnNi12B5, from Alexandria via LeMat-Bulk.

The structure in CIF format:
```
data_ZnNi12B5
_chemical_formula_sum 'Zn2 Ni24 B10'
_symmetry_space_group_name_H-M 'I m m m'
_symmetry_Int_Tables_number 71
_symmetry_space_group_name_Hall '-I 2 2'
_cell_length_a 6.6965
_cell_length_b 6.7395
_cell_length_c 7.5214
_cell_angle_alpha 90.00
_cell_angle_beta 90.00
_cell_angle_gamma 90.00
loop_
_atom_site_label
_atom_site_type_symbol
_atom_site_fract_x
_atom_site_fract_y
_atom_site_fract_z
_atom_site_occupancy
Zn1 Zn 0.0000 0.0000 0.0000 1
Ni1 Ni 0.0000 0.1869 0.2763 1
Ni2 Ni 0.1887 0.5000 0.3216 1
Ni3 Ni 0.2166 0.3177 0.0000 1
B1 B 0.0000 0.0000 0.5000 1
B2 B 0.0000 0.3518 0.5000 1
B3 B 0.0000 0.5000 0.1181 1
```

DFT formation energy in kJ per mole of atoms: -24.21
Fermi-level density of states in states/eV per cell: 18.717

No. 3
The following is a PBE calculation of an optimized crystal structure of ZnNi3B2, from Alexandria via LeMat-Bulk.

The structure in CIF format:
```
data_ZnNi3B2
_chemical_formula_sum 'Zn4 Ni12 B8'
_symmetry_space_group_name_H-M 'C 1 2/m 1'
_symmetry_Int_Tables_number 12
_cell_length_a 9.5353
_cell_length_b 2.8648
_cell_length_c 8.5030
_cell_angle_alpha 90.00
_cell_angle_beta 101.51
_cell_angle_gamma 90.00
loop_
_symmetry_equiv_pos_as_xyz
'x,y,z'
'-x,-y,-z'
'-x,y,-z'
'x,-y,z'
'x+1/2,y+1/2,z'
'-x+1/2,-y+1/2,-z'
'-x+1/2,y+1/2,-z'
'x+1/2,-y+1/2,z'
loop_
_atom_site_label
_atom_site_type_symbol
_atom_site_fract_x
_atom_site_fract_y
_atom_site_fract_z
_atom_site_occupancy
Zn1 Zn 0.1379 0.0000 0.0249 1
Ni1 Ni 0.0051 0.5000 0.2122 1
Ni2 Ni 0.1385 0.5000 0.5026 1
Ni3 Ni 0.2182 0.0000 0.7509 1
B1 B 0.0146 0.0000 0.6111 1
B2 B 0.1553 0.0000 0.3160 1
```

DFT formation energy in kJ per mole of atoms: -27.14
Fermi-level density of states in states/eV per cell: 7.802

No. 4
The following is a PBE calculation of an optimized crystal structure of ZnNi5B2, from Alexandria via LeMat-Bulk.

The structure in CIF format:
```
data_ZnNi5B2
_chemical_formula_sum 'Zn2 Ni10 B4'
_symmetry_space_group_name_H-M 'I m m m'
_symmetry_Int_Tables_number 71
_symmetry_space_group_name_Hall '-I 2 2'
_cell_length_a 3.1351
_cell_length_b 5.0785
_cell_length_c 10.3398
_cell_angle_alpha 90.00
_cell_angle_beta 90.00
_cell_angle_gamma 90.00
loop_
_atom_site_label
_atom_site_type_symbol
_atom_site_fract_x
_atom_site_fract_y
_atom_site_fract_z
_atom_site_occupancy
Zn1 Zn 0.0000 0.0000 0.0000 1
Ni1 Ni 0.0000 0.2430 0.3460 1
Ni2 Ni 0.0000 0.5000 0.0000 1
B1 B 0.0000 0.5000 0.1958 1
```

DFT formation energy in kJ per mole of atoms: -22.56
Fermi-level density of states in states/eV per cell: 6.697

No. 5
The following is a PBE calculation of an optimized crystal structure of ZnNi2B, from Alexandria via LeMat-Bulk.

The structure in CIF format:
```
data_ZnNi2B
_chemical_formula_sum 'Zn4 Ni8 B4'
_symmetry_space_group_name_H-M 'F m -3 m'
_symmetry_Int_Tables_number 225
_symmetry_space_group_name_Hall '-F 4 2 3'
_cell_length_a 5.4422
_cell_length_b 5.4422
_cell_length_c 5.4422
_cell_angle_alpha 90.00
_cell_angle_beta 90.00
_cell_angle_gamma 90.00
loop_
_atom_site_label
_atom_site_type_symbol
_atom_site_fract_x
_atom_site_fract_y
_atom_site_fract_z
_atom_site_occupancy
Zn1 Zn 0.0000 0.0000 0.0000 1
Ni1 Ni 0.2500 0.2500 0.2500 1
B1 B 0.0000 0.0000 0.5000 1
```

DFT formation energy in kJ per mole of atoms: 12.30
Fermi-level density of states in states/eV per cell: 9.617
Polymorph energy (0 for the lowest one) in eV per atom: 0.320

No. 6
The following is a PBE calculation of an optimized crystal structure of Zn2Ni6B, from Alexandria via LeMat-Bulk.

The structure in CIF format:
```
data_Zn2Ni6B
_chemical_formula_sum 'Zn4 Ni12 B2'
_symmetry_space_group_name_H-M 'A m m 2'
_symmetry_Int_Tables_number 38
_cell_length_a 2.6664
_cell_length_b 11.2894
_cell_length_c 6.5093
_cell_angle_alpha 90.00
_cell_angle_beta 90.00
_cell_angle_gamma 90.00
loop_
_symmetry_equiv_pos_as_xyz
'x,y,z'
'-x,-y,z'
'-x,y,z'
'x,-y,z'
'x,y+1/2,z+1/2'
'-x,-y+1/2,z+1/2'
'-x,y+1/2,z+1/2'
'x,-y+1/2,z+1/2'
loop_
_atom_site_label
_atom_site_type_symbol
_atom_site_fract_x
_atom_site_fract_y
_atom_site_fract_z
_atom_site_occupancy
Zn1 Zn 0.0000 0.1673 0.0000 1
Ni1 Ni 0.0000 0.0000 0.7383 1
Ni2 Ni 0.0000 0.1181 0.3807 1
Ni3 Ni 0.5000 0.0000 0.1250 1
Ni4 Ni 0.5000 0.1859 0.6860 1
B1 B 0.5000 0.0000 0.5010 1
```

DFT formation energy in kJ per mole of atoms: -15.85
Fermi-level density of states in states/eV per cell: 12.281

No. 7
The following is a PBE calculation of an optimized crystal structure of ZnNi7B2, from Alexandria via LeMat-Bulk.

The structure in CIF format:
```
data_ZnNi7B2
_chemical_formula_sum 'Zn2 Ni14 B4'
_symmetry_space_group_name_H-M 'C m m m'
_symmetry_Int_Tables_number 65
_symmetry_space_group_name_Hall '-C 2 2'
_cell_length_a 6.3078
_cell_length_b 9.6434
_cell_length_c 3.7875
_cell_angle_alpha 90.00
_cell_angle_beta 90.00
_cell_angle_gamma 90.00
loop_
_atom_site_label
_atom_site_type_symbol
_atom_site_fract_x
_atom_site_fract_y
_atom_site_fract_z
_atom_site_occupancy
Zn1 Zn 0.0000 0.0000 0.0000 1
Ni1 Ni 0.0000 0.3181 0.0000 1
Ni2 Ni 0.0000 0.5000 0.5000 1
Ni3 Ni 0.1909 0.1315 0.5000 1
B1 B 0.0000 0.2934 0.5000 1
```

DFT formation energy in kJ per mole of atoms: 2.00
Fermi-level density of states in states/eV per cell: 11.595

No. 8
The following is a PBE calculation of an optimized crystal structure of ZnNi8B2, from Alexandria via LeMat-Bulk.

The structure in CIF format:
```
data_ZnNi8B2
_chemical_formula_sum 'Zn2 Ni16 B4'
_symmetry_space_group_name_H-M 'C 1 2/m 1'
_symmetry_Int_Tables_number 12
_cell_length_a 6.3328
_cell_length_b 9.3320
_cell_length_c 3.9654
_cell_angle_alpha 90.00
_cell_angle_beta 104.87
_cell_angle_gamma 90.00
loop_
_symmetry_equiv_pos_as_xyz
'x,y,z'
'-x,-y,-z'
'-x,y,-z'
'x,-y,z'
'x+1/2,y+1/2,z'
'-x+1/2,-y+1/2,-z'
'-x+1/2,y+1/2,-z'
'x+1/2,-y+1/2,z'
loop_
_atom_site_label
_atom_site_type_symbol
_atom_site_fract_x
_atom_site_fract_y
_atom_site_fract_z
_atom_site_occupancy
Zn1 Zn 0.0000 0.0000 0.0000 1
Ni1 Ni 0.0000 0.2553 0.0000 1
Ni2 Ni 0.1033 0.5000 0.7955 1
Ni3 Ni 0.2013 0.1306 0.5875 1
B1 B 0.0000 0.3143 0.5000 1
```

DFT formation energy in kJ per mole of atoms: -15.86
Fermi-level density of states in states/eV per cell: 26.641

> The highest DFT formation energy belongs to which entry?

number 5